DFT (PBE) results for a geometry-optimized Cs3Pb4Au4 structure.

```
Cs3Pb4Au4
1.0
-2.5487 2.7053 14.2568
2.5487 -2.7053 14.2568
2.5487 2.7053 -14.2568
Cs Pb Au
3 4 4
Direct
0.0000 0.0000 0.0000
0.1420 0.6420 0.5000
0.8580 0.3580 0.5000
0.2483 0.2483 0.0000
0.4000 0.9000 0.5000
0.6000 0.1000 0.5000
0.7517 0.7517 0.0000
0.3009 0.8009 0.5000
0.4495 0.4495 0.0000
0.5505 0.5505 0.0000
0.6991 0.1991 0.5000
```

Calculated values
- DFT formation energy (eV/atom) = -0.15
- symmetry = Immm (71)
- total moment (μB per formula unit) = 0.0
- DOS(E_F) (states/eV per atom) = 0.61
- calculated total energy (eV/atom) = -2.92